VASP calculation (SCAN) on FeTcAu2C at its PBEsol-relaxed geometry.

abc: 4.147 4.689 4.689
angles: 90.00 90.00 90.00
Positions (direct):
Au1 0.000 0.000 0.500
Au2 0.000 0.500 0.000
C1 0.500 0.500 0.500
Fe1 0.000 0.000 0.000
Tc1 0.500 0.000 0.000

energy relative to the elements: 2352 meV per atom
energy: -37.969 eV per atom